VZn3Cl: relaxed, GGA-PBE.

Cell lengths 4.834, 4.834, 4.834 Å; angles 90.00, 90.00, 90.00 degrees
Space group Pm-3m (No. 221)
Symmetry-distinct sites (fractional):
V1 0.000 0.000 0.000 [1 per cell]
Zn1 0.000 0.500 0.500 [3 per cell]
Cl1 0.500 0.500 0.500 [1 per cell]

energy above the lowest structure with this stoichiometry = 1.72 eV/f.u.
total energy = -1.991 eV/atom
size of the total moment = 3.4 μB/f.u.
energy relative to the elements, uncorrected = 0.967 eV per atom